# 1
Material: Mg3Rh5
Method: DFT, SCAN
State: PBEsol geometry

Summary:
ΔE_f, eV per atom: -0.339
Spin magnetization, μB per cell: 0.56

abc: 4.336 5.296 5.296
angles: 109.36 90.00 90.00
Fractional positions:
Rh 0.500 0.244 0.244
Mg 0.500 0.750 0.250
Rh 0.000 0.000 0.500
Rh 0.000 0.000 0.000
Rh 0.000 0.500 0.000
Mg 0.000 0.500 0.500
Rh 0.500 0.756 0.756
Mg 0.500 0.250 0.750

***

# 2
Material: Mg2Rh
Method: DFT, SCAN
State: PBEsol geometry

Summary:
ΔE_f, eV per atom: -0.419
Spin magnetization, μB per cell: 0.00

abc: 4.525 4.525 5.561
angles: 90.00 90.00 120.00
Fractional positions:
Rh 0.667 0.333 0.250
Rh 0.333 0.667 0.750
Mg 0.333 0.667 0.250
Mg 0.000 0.000 0.000
Mg 0.667 0.333 0.750
Mg 0.000 0.000 0.500

***

# 3
Material: Mg2Rh
Method: DFT, SCAN
State: PBEsol geometry

Summary:
ΔE_f, eV per atom: -0.470
Spin magnetization, μB per cell: 0.00

abc: 3.105 7.467 7.467
angles: 120.00 90.00 90.00
Fractional positions:
Rh 0.500 0.000 0.000
Mg 0.000 0.718 0.718
Rh 0.000 0.333 0.667
Mg 0.000 0.282 0.000
Mg 0.000 0.000 0.282
Mg 0.500 0.615 0.000
Mg 0.500 0.385 0.385
Rh 0.000 0.667 0.333
Mg 0.500 0.000 0.615

***

# 4
Material: Mg2Rh
Method: DFT, SCAN
State: PBEsol geometry

Summary:
ΔE_f, eV per atom: -0.410
Spin magnetization, μB per cell: 0.00

abc: 3.087 3.087 11.915
angles: 97.44 97.44 90.00
Fractional positions:
Mg 0.686 0.186 0.373
Mg 0.814 0.314 0.627
Mg 0.436 0.436 0.873
Mg 0.564 0.564 0.127
Rh 0.250 0.750 0.500
Rh 0.000 0.000 0.000

***

# 5
Material: Mg8Rh
Method: DFT, SCAN
State: PBEsol geometry

Summary:
ΔE_f, eV per atom: -0.136
Spin magnetization, μB per cell: 0.00

abc: 3.511 7.383 7.383
angles: 86.76 76.24 76.24
Fractional positions:
Mg 0.649 0.703 0.000
Mg 0.000 0.331 0.669
Mg 0.351 0.000 0.297
Mg 0.669 0.331 0.331
Mg 0.649 0.000 0.703
Rh 0.000 0.000 0.000
Mg 0.000 0.669 0.331
Mg 0.351 0.297 0.000
Mg 0.331 0.669 0.669

***

# 6
Material: Mg5Rh3
Method: DFT, SCAN
State: PBEsol geometry

Summary:
ΔE_f, eV per atom: -0.442
Relative energy among the computed polymorphs, eV/f.u.: 0.384
Spin magnetization, μB per cell: 0.00

abc: 5.266 7.655 7.655
angles: 120.00 90.00 90.00
Fractional positions:
Mg 0.750 0.745 0.745
Rh 0.250 0.000 0.396
Mg 0.000 0.333 0.667
Mg 0.750 0.000 0.255
Rh 0.750 0.000 0.604
Mg 0.500 0.667 0.333
Rh 0.250 0.604 0.604
Mg 0.250 0.255 0.255
Rh 0.250 0.396 0.000
Mg 0.500 0.333 0.667
Mg 0.000 0.667 0.333
Rh 0.750 0.604 0.000
Mg 0.750 0.255 0.000
Rh 0.750 0.396 0.396
Mg 0.250 0.745 0.000
Mg 0.250 0.000 0.745

***

# 7
Material: Mg5Rh
Method: DFT, SCAN
State: PBEsol geometry

Summary:
ΔE_f, eV per atom: -0.212
Relative energy among the computed polymorphs, eV/f.u.: 0.322
Spin magnetization, μB per cell: 0.00

abc: 4.729 5.225 5.225
angles: 120.00 90.00 90.00
Fractional positions:
Mg 0.000 0.689 0.000
Rh 0.500 0.000 0.000
Mg 0.500 0.333 0.667
Mg 0.000 0.311 0.311
Mg 0.500 0.667 0.333
Mg 0.000 0.000 0.689

***

# 8
Material: Mg2Rh
Method: DFT, SCAN
State: PBEsol geometry

Summary:
ΔE_f, eV per atom: -0.475
Spin magnetization, μB per cell: 0.00

abc: 8.367 8.367 8.367
angles: 60.00 60.00 60.00
Fractional positions:
Mg 0.125 0.125 0.125
Mg 0.125 0.625 0.125
Mg 0.949 0.551 0.949
Rh 0.338 0.985 0.338
Rh 0.265 0.912 0.912
Mg 0.301 0.301 0.699
Rh 0.912 0.912 0.912
Mg 0.301 0.699 0.699
Mg 0.949 0.551 0.551
Mg 0.551 0.949 0.949
Mg 0.301 0.699 0.301
Mg 0.699 0.301 0.301
Rh 0.985 0.338 0.338
Mg 0.125 0.125 0.625
Mg 0.551 0.949 0.551
Mg 0.625 0.125 0.125
Rh 0.912 0.912 0.265
Mg 0.699 0.699 0.301
Mg 0.699 0.301 0.699
Rh 0.338 0.338 0.985
Mg 0.551 0.551 0.949
Rh 0.338 0.338 0.338
Mg 0.949 0.949 0.551
Rh 0.912 0.265 0.912

***

# 9
Material: Mg2Rh
Method: DFT, SCAN
State: PBEsol geometry

Summary:
ΔE_f, eV per atom: -0.514
Spin magnetization, μB per cell: 0.00

abc: 3.152 3.152 5.570
angles: 106.44 106.44 90.00
Fractional positions:
Rh 0.500 0.500 0.000
Mg 0.858 0.858 0.715
Mg 0.142 0.142 0.285

***

# 10
Material: Mg5Rh3
Method: DFT, SCAN
State: PBEsol geometry

Summary:
ΔE_f, eV per atom: -0.490
Relative energy among the computed polymorphs, eV/f.u.: 0.000
Spin magnetization, μB per cell: 0.00

abc: 4.402 5.446 5.446
angles: 106.15 90.00 90.00
Fractional positions:
Rh 0.500 0.768 0.232
Mg 0.000 0.000 0.000
Mg 0.000 0.000 0.500
Mg 0.000 0.500 0.000
Rh 0.500 0.232 0.768
Mg 0.500 0.281 0.281
Rh 0.000 0.500 0.500
Mg 0.500 0.719 0.719

***

# 11
Material: Mg5Rh
Method: DFT, SCAN
State: PBEsol geometry

Summary:
ΔE_f, eV per atom: -0.229
Relative energy among the computed polymorphs, eV/f.u.: 0.218
Spin magnetization, μB per cell: 0.00

abc: 4.350 4.436 6.240
angles: 90.00 110.40 90.00
Fractional positions:
Mg 0.653 0.500 0.306
Mg 0.848 0.000 0.697
Mg 0.000 0.500 0.000
Rh 0.500 0.000 0.000
Mg 0.347 0.500 0.694
Mg 0.152 0.000 0.303

***

# 12
Material: Mg2Rh
Method: DFT, SCAN
State: PBEsol geometry

Summary:
ΔE_f, eV per atom: -0.481
Spin magnetization, μB per cell: 0.00

abc: 3.178 4.478 7.001
angles: 90.00 103.12 90.00
Fractional positions:
Rh 0.898 0.250 0.795
Mg 0.758 0.750 0.517
Mg 0.242 0.250 0.483
Rh 0.102 0.750 0.205
Mg 0.438 0.750 0.875
Mg 0.562 0.250 0.125

***

# 13
Material: Mg5Rh
Method: DFT, SCAN
State: PBEsol geometry

Summary:
ΔE_f, eV per atom: -0.266
Relative energy among the computed polymorphs, eV/f.u.: 0.000
Spin magnetization, μB per cell: 0.00

abc: 3.217 5.542 7.286
angles: 109.87 90.00 106.88
Fractional positions:
Mg 0.663 0.326 0.251
Mg 0.305 0.611 0.611
Mg 0.643 0.286 0.818
Rh 0.306 0.611 0.111
Mg 0.968 0.936 0.404
Mg 0.948 0.897 0.971

***

# 14
Material: MgRu2Rh
Method: DFT, SCAN
State: PBEsol geometry

Summary:
ΔE_f, eV per atom: 0.064
Spin magnetization, μB per cell: 0.00

abc: 2.675 4.110 5.280
angles: 90.00 104.71 90.00
Fractional positions:
Mg 0.823 0.000 0.523
Rh 0.424 0.500 0.722
Ru 0.674 0.500 0.221
Ru 0.080 0.000 0.034